Density functional theory data (PBE) for crystalline SrIrIN2 at its relaxed geometry.

Geometry as POSCAR:
```
SrIrIN2
1.0
-4.080 2.402 0.435
0.218 -0.485 4.725
3.432 5.750 0.432
I Sr Ir N
1 1 1 2
Direct
0.000 0.000 0.500
0.000 0.000 0.000
0.500 0.500 0.500
0.000 0.500 0.000
0.500 0.000 0.000
```

## Properties
- ΔE_f (raw) (eV/atom) = 2.106
- energy above the most stable polymorph in this dataset (eV/atom) = 1.542

Density functional theory data (PBE) for crystalline Tb2CdHg8 at its relaxed geometry.

Geometry as POSCAR:
```
Tb2CdHg8
1.0
-0.253 -4.449 -1.286
-0.870 -1.219 4.389
-12.652 1.337 -2.137
Tb Cd Hg
2 1 8
Direct
0.000 0.000 0.316
0.000 0.000 0.684
0.000 0.000 0.000
0.000 0.500 0.500
0.500 0.000 0.500
0.500 0.500 0.323
0.500 0.500 0.677
0.000 0.500 0.144
0.500 0.000 0.144
0.000 0.500 0.856
0.500 0.000 0.856
```

## Properties
- formation energy from the elements (meV/atom) = -238.9
- energy above the most stable polymorph in this dataset (eV/atom) = 0.000

Density functional theory data (PBE) for crystalline CaZrPdAu at its relaxed geometry.

Geometry as POSCAR:
```
CaZrPdAu
1.0
4.901 0.000 0.000
2.450 4.244 0.000
2.450 1.415 4.001
Ca Au Zr Pd
1 1 1 1
Direct
0.000 0.000 0.000
0.250 0.250 0.250
0.500 0.500 0.500
0.750 0.750 0.750
```

## Properties
- formation energy from the elements (meV/atom) = -532.0

Density functional theory data (PBE) for crystalline SiAs3Ru at its relaxed geometry.

Geometry as POSCAR:
```
SiAs3Ru
1.0
4.774 0.000 0.000
0.000 4.774 0.000
0.000 0.000 4.774
Ru As Si
1 3 1
Direct
0.000 0.000 0.000
0.000 0.500 0.000
0.000 0.000 0.500
0.500 0.000 0.000
0.500 0.500 0.500
```

## Properties
- ΔE_f (raw) (eV/atom) = 0.754
- energy above the most stable polymorph in this dataset (eV/atom) = 0.000

| no. | mass density (g/cm3) |
| --- | --- |
| 1 | 4.8 |
| 2 | 12.2 |
| 3 | 8.7 |
| 4 | 5.4 |